Entry 1:
The following is a PBE calculation of a relaxed structure of TmGaAg, from Alexandria.

POSCAR file:
```
TmGaAg
1.0
4.617 0.000 0.000
2.308 3.998 0.000
2.308 1.333 3.769
Tm Ga Ag
1 1 1
Cartesian
4.617 2.665 1.885 Tm
0.000 0.000 0.000 Ga
2.308 1.333 0.942 Ag
```

Summary:
Formation energy ... -251 meV per atom
Mass density ... 8.3 g cm⁻³
D(E_F) ... 4.19 states/eV per cell

=====

Entry 2:
The following is a PBE calculation of a relaxed structure of PmTi2CrN4, from Alexandria.

POSCAR file:
```
PmTi2CrN4
1.0
-0.130 0.076 3.158
5.206 -1.790 -1.326
3.392 9.935 -0.099
Pm Ti Cr N
2 4 2 8
Cartesian
3.537 7.112 -0.025 Pm
4.930 1.108 1.758 Pm
5.655 4.078 0.134 Ti
1.398 -0.001 1.640 Ti
2.813 4.142 1.599 Ti
7.070 8.221 0.093 Ti
5.915 6.318 1.674 Cr
2.553 1.903 0.059 Cr
3.118 0.178 0.124 N
4.413 5.298 1.637 N
5.350 8.042 1.609 N
4.055 2.922 0.096 N
1.696 4.967 -0.050 N
0.000 0.000 0.000 N
6.945 5.951 0.143 N
1.523 2.269 1.591 N
```

Summary:
Mass density ... 6.4 g cm⁻³
D(E_F) ... 7.16 states/eV per cell
Formation energy from raw total energies ... -1.255 eV/atom

=====

Entry 3:
The following is a PBE calculation of a relaxed structure of CsTl3, from Alexandria.

POSCAR file:
```
CsTl3
1.0
3.691 0.000 0.000
0.000 5.164 0.000
0.000 0.000 8.411
Cs Tl
1 3
Cartesian
0.000 2.582 2.591 Cs
0.000 0.000 8.066 Tl
1.846 0.000 4.993 Tl
1.846 2.582 6.778 Tl
```

Summary:
Formation energy ... -28 meV per atom
Mass density ... 7.7 g cm⁻³
D(E_F) ... 2.58 states/eV per cell